# SmEr3C8

A geometry-optimized SmEr3C8 structure (GGA-PBE, Alexandria).

Summary:
Total energy ... -362.742 eV for the cell shown
Total moment ... 0.000 μB/atom

Lattice parameters (Å, degrees): 9.294 9.645 8.075 90.00 90.00 90.00
Space group Fmm2 (No. 42)
One atom of each set of equivalent atoms:
Sm  0.000  0.000  0.000 [4 per cell]
Er  0.000  0.000  0.506 [4 per cell]
Er  0.250  0.250  0.229 [8 per cell]
C  0.000  0.169  0.745 [8 per cell]
C  0.000  0.249  0.373 [8 per cell]
C  0.169  0.000  0.270 [8 per cell]
C  0.244  0.000  0.645 [8 per cell]